{"formula": "MnSeBr2", "functional": "PBE", "state": "relaxed", "cell": [[-3.4752, 3.9823, 4.2323], [-0.9625, -5.2576, 4.1568], [1.6545, 0.3976, 6.4008]], "species": ["Br", "Br", "Br", "Br", "Se", "Se", "Mn", "Mn"], "frac_coords": [[0.8750, 0.7816, 0.7500], [0.5316, 0.1250, 0.2500], [0.2184, 0.6250, 0.2500], [0.3750, 0.4684, 0.7500], [0.0000, 0.0000, 0.0000], [0.7500, 0.2500, 0.5000], [0.2500, 0.7500, 0.5000], [0.5000, 0.5000, 0.0000]], "sg": "No. 122", "polymorph_energy_mev_per_atom": 979.1, "volume_a3_per_atom": 26.23, "density_g_cm3": 4.6}

{"formula": "MnSeBr2", "functional": "PBE", "state": "relaxed", "cell": [[-1.0377, -3.1839, 0.8443], [4.1224, -2.3536, -3.8089], [5.9540, -1.2507, 2.6015]], "species": ["Br", "Br", "Mn", "Se"], "frac_coords": [[0.0000, 0.0661, 0.9048], [0.5000, 0.3478, 0.3478], [0.0000, 0.4365, 0.5802], [0.5000, 0.6496, 0.6673]], "sg": "No. 6", "polymorph_energy_mev_per_atom": 0.0, "volume_a3_per_atom": 31.28, "density_g_cm3": 3.9}

{"formula": "MnSiSeBr2", "functional": "PBE", "state": "relaxed", "cell": [[-4.5742, 1.6625, -1.2765], [0.0405, -2.9936, -4.0440], [-2.1247, -3.7378, 2.7457]], "species": ["Si", "Br", "Br", "Mn", "Se"], "frac_coords": [[0.5000, 0.5000, 0.5000], [0.0000, 0.5000, 0.0000], [0.5000, 0.0000, 0.0000], [0.0000, 0.0000, 0.0000], [0.0000, 0.0000, 0.5000]], "sg": "No. 123", "polymorph_energy_mev_per_atom": 0.0, "volume_a3_per_atom": 25.83, "density_g_cm3": 4.1}

{"formula": "MnSiSeBr2", "functional": "PBE", "state": "relaxed", "cell": [[-1.1183, 4.8977, -0.8301], [0.4987, -0.7359, -5.0137], [-4.8914, -1.1702, -0.3148]], "species": ["Se", "Br", "Br", "Si", "Mn"], "frac_coords": [[0.0000, 0.0000, 0.5000], [0.5000, 0.0000, 0.0000], [0.0000, 0.5000, 0.0000], [0.0000, 0.0000, 0.0000], [0.5000, 0.5000, 0.5000]], "sg": "No. 123", "polymorph_energy_mev_per_atom": 31.4, "volume_a3_per_atom": 26.13, "density_g_cm3": 4.1}